Model A:
Material: MnCu2O4
Method: DFT, PBE with a Hubbard U
State: optimized geometry

## Properties
Space-group type: Cmmm, No. 65
Volume (Å³ per cell): 141.7

Cell and atoms, written as POSCAR:
```
MnCu2O4
1.0
5.143 0.000 0.000
0.000 9.559 0.000
0.000 0.000 2.882
Mn Cu O
2 4 8
Direct
0.000 0.000 0.000
0.500 0.500 0.000
0.000 0.327 0.500
0.000 0.673 0.500
0.500 0.173 0.500
0.500 0.827 0.500
0.249 0.500 0.500
0.250 0.250 0.000
0.250 0.750 0.000
0.251 0.000 0.500
0.749 0.000 0.500
0.750 0.250 0.000
0.750 0.750 0.000
0.751 0.500 0.500
```

***

Model B:
Material: MnCu2O4
Method: DFT, PBE with a Hubbard U
State: optimized geometry

## Properties
Space-group type: I4_1/amd, No. 141
Volume (Å³ per cell): 170.4

Cell and atoms, written as POSCAR:
```
MnCu2O4
1.0
-2.758 2.758 5.598
2.758 -2.758 5.598
2.758 2.758 -5.598
Mn Cu O
2 4 8
Direct
0.375 0.625 0.750
0.625 0.375 0.250
0.000 0.000 0.000
0.000 0.000 0.500
0.000 0.500 0.000
0.500 0.000 0.500
0.223 0.748 0.475
0.228 0.252 0.975
0.252 0.228 0.475
0.252 0.777 0.025
0.748 0.223 0.975
0.748 0.772 0.525
0.772 0.748 0.025
0.777 0.252 0.525
```

***

Short version: model B is the most stable of them.

***

Model A:
Material: Mn3Cu2O8
Method: DFT, PBE with a Hubbard U
State: optimized geometry

## Properties
Space-group type: C2/m, No. 12
Volume (Å³ per cell): 137.9

Cell and atoms, written as POSCAR:
```
Mn3Cu2O8
1.0
4.833 -2.880 0.000
4.833 2.880 0.000
-0.862 0.000 4.955
Mn Cu O
3 2 8
Direct
0.000 0.000 0.000
0.256 0.744 0.500
0.744 0.256 0.500
0.289 0.289 0.926
0.711 0.711 0.074
0.101 0.101 0.360
0.109 0.651 0.139
0.349 0.891 0.861
0.394 0.394 0.614
0.606 0.606 0.386
0.651 0.109 0.139
0.891 0.349 0.861
0.899 0.899 0.640
```

***

Model B:
Material: Mn3Cu2O8
Method: DFT, PBE with a Hubbard U
State: optimized geometry

## Properties
Space-group type: C2/m, No. 12
Volume (Å³ per cell): 140.4

Cell and atoms, written as POSCAR:
```
Mn3Cu2O8
1.0
5.156 -2.924 0.000
5.156 2.924 0.000
-1.896 0.000 4.655
Mn Cu O
3 2 8
Direct
0.000 0.000 0.000
0.259 0.741 0.500
0.741 0.259 0.500
0.318 0.318 0.853
0.682 0.682 0.147
0.109 0.109 0.751
0.126 0.660 0.738
0.340 0.874 0.262
0.387 0.387 0.277
0.613 0.613 0.723
0.660 0.126 0.738
0.874 0.340 0.262
0.891 0.891 0.249
```

***

Short version: model A is the most stable of them.

***

Model A:
Material: Mn2CuTcO
Method: DFT, PBE with a Hubbard U
State: optimized geometry

## Properties
Space-group type: P4/mmm, No. 123
Volume (Å³ per cell): 100.5

Cell and atoms, written as POSCAR:
```
Mn2CuTcO
1.0
4.686 0.000 0.000
0.000 4.686 0.000
0.000 0.000 4.578
Mn Cu Tc O
2 1 1 1
Direct
0.000 0.500 0.000
0.500 0.000 0.000
0.000 0.000 0.000
0.000 0.000 0.500
0.500 0.500 0.500
```

***

Model B:
Material: Mn2CuTcO
Method: DFT, PBE with a Hubbard U
State: optimized geometry

## Properties
Space-group type: P4/mmm, No. 123
Volume (Å³ per cell): 86.2

Cell and atoms, written as POSCAR:
```
Mn2CuTcO
1.0
5.011 0.000 0.000
0.000 5.011 0.000
0.000 0.000 3.432
Mn Cu Tc O
2 1 1 1
Direct
0.000 0.500 0.000
0.500 0.000 0.000
0.000 0.000 0.000
0.500 0.500 0.500
0.000 0.000 0.500
```

***

Short version: model B is the most stable of them.